1.
DFT (PBE-GGA) results for an optimized crystal structure of DyHo2Os.

Calculated values
E above lowest polymorph: 14.2 kJ/mol of atoms
Formation enthalpy at 0 K: -124 meV per atom
DOS at the Fermi energy: 3.3 states/eV/f.u.
Mass density: 10767 kg/m3
Total energy: -25.484 eV per formula unit

Cell lengths 3.3845, 3.3845, 9.1902 Å; angles 90.00, 90.00, 90.00 degrees
Space group P4/mmm (No. 123)
Symmetry-distinct sites (fractional):
Dy1 0.0000 0.0000 0.0000
Ho1 0.5000 0.5000 0.3199
Os1 0.0000 0.0000 0.5000

=====

2.
DFT (PBE-GGA) results for an optimized crystal structure of LaCeScHg.

Calculated values
Formation enthalpy at 0 K: -23 meV per atom
DOS at the Fermi energy: 8.2 states/eV/f.u.
Mass density: 8105 kg/m3
Total energy: -17.585 eV per formula unit

Cell lengths 7.5471, 7.5471, 7.5471 Å; angles 90.00, 90.00, 90.00 degrees
Space group F-43m (No. 216)
Symmetry-distinct sites (fractional):
La1 0.0000 0.0000 0.0000
Ce1 0.2500 0.2500 0.7500
Sc1 0.0000 0.0000 0.5000
Hg1 0.2500 0.2500 0.2500

=====

3.
DFT (PBE-GGA) results for an optimized crystal structure of LiTaSe2F.

Calculated values
DOS at the Fermi energy: 2.9 states/eV/f.u.
Energy relative to the elements, uncorrected: -0.225 eV/atom
Mass density: 5670 kg/m3
Total energy: -23.733 eV per formula unit

Cell lengths 5.2943, 5.2943, 3.8117 Å; angles 90.00, 90.00, 90.00 degrees
Space group P4/mmm (No. 123)
Symmetry-distinct sites (fractional):
Li1 0.0000 0.0000 0.0000
Ta1 0.5000 0.5000 0.0000
Se1 0.0000 0.5000 0.5000
F1 0.5000 0.5000 0.5000

=====

4.
DFT (PBE-GGA) results for an optimized crystal structure of TlCuAs2Br.

Calculated values
E above lowest polymorph: 83.5 kJ/mol of atoms
DOS at the Fermi energy: 3.6 states/eV/f.u.
Energy relative to the elements, uncorrected: 1.110 eV/atom
Mass density: 5163 kg/m3
Total energy: -11.885 eV per formula unit

Cell lengths 5.2992, 5.2992, 5.6999 Å; angles 90.00, 90.00, 90.00 degrees
Space group P4/mmm (No. 123)
Symmetry-distinct sites (fractional):
Tl1 0.0000 0.0000 0.0000
Cu1 0.5000 0.5000 0.5000
As1 0.0000 0.5000 0.0000
Br1 0.0000 0.0000 0.5000

=====

5.
DFT (PBE-GGA) results for an optimized crystal structure of Li2LaPH.

Calculated values
DOS at the Fermi energy: 1.8 states/eV/f.u.
Mass density: 3574 kg/m3
Total energy: -20.619 eV per formula unit

Cell lengths 4.2222, 4.2222, 4.8154 Å; angles 90.00, 90.00, 90.00 degrees
Space group P4/mmm (No. 123)
Symmetry-distinct sites (fractional):
Li1 0.0000 0.5000 0.0000
La1 0.0000 0.0000 0.5000
P1 0.5000 0.5000 0.5000
H1 0.0000 0.0000 0.0000

=====

6.
DFT (PBE-GGA) results for an optimized crystal structure of Tl2H2SI2.

Calculated values
DOS at the Fermi energy: 0.0 states/eV/f.u.
Mass density: 5634 kg/m3
Total energy: -20.256 eV per formula unit

Cell lengths 4.5991, 6.9229, 6.9407 Å; angles 75.54, 77.14, 77.12 degrees
Space group P-1 (No. 2)
Symmetry-distinct sites (fractional):
Tl1 0.9998 0.2485 0.2523
H1 0.4768 0.3617 0.8619
S1 0.5000 0.5000 0.0000
I1 0.3646 0.1996 0.6994

=====

7.
DFT (PBE-GGA) results for an optimized crystal structure of TmMg2.

Calculated values
Formation enthalpy at 0 K: -34 meV per atom
DOS at the Fermi energy: 2.7 states/eV/f.u.
Mass density: 4739 kg/m3
Total energy: -7.764 eV per formula unit

Cell lengths 3.3820, 3.3820, 13.3279 Å; angles 90.00, 90.00, 90.00 degrees
Space group I4/mmm (No. 139)
Symmetry-distinct sites (fractional):
Tm1 0.0000 0.0000 0.0000
Mg1 0.0000 0.0000 0.3263

=====

8.
DFT (PBE-GGA) results for an optimized crystal structure of Cr14ReW.

Calculated values
Formation enthalpy at 0 K: 11 meV per atom
DOS at the Fermi energy: 5.9 states/eV/f.u.
Mass density: 9222 kg/m3
Total energy: -159.957 eV per formula unit

Cell lengths 5.8384, 8.2371, 8.2225 Å; angles 90.00, 90.00, 90.00 degrees
Space group Cmmm (No. 65)
Symmetry-distinct sites (fractional):
Cr1 0.0000 0.0000 0.0000
Cr2 0.0000 0.2494 0.2449
Cr3 0.0000 0.5000 0.0000
Cr4 0.2495 0.0000 0.2424
Cr5 0.2500 0.2500 0.0000
Cr6 0.2500 0.2500 0.5000
Re1 0.0000 0.0000 0.5000
W1 0.0000 0.5000 0.5000

=====

9.
DFT (PBE-GGA) results for an optimized crystal structure of Dy5ThZn4.

Calculated values
Formation enthalpy at 0 K: -271 meV per atom
DOS at the Fermi energy: 11.3 states/eV/f.u.
Mass density: 8861 kg/m3
Total energy: -38.241 eV per formula unit

Cell lengths 3.5662, 3.5662, 19.2464 Å; angles 90.00, 90.00, 90.00 degrees
Space group P4/mmm (No. 123)
Symmetry-distinct sites (fractional):
Dy1 0.0000 0.0000 0.0000
Dy2 0.0000 0.0000 0.1843
Dy3 0.0000 0.0000 0.3709
Th1 0.5000 0.5000 0.5000
Zn1 0.5000 0.5000 0.0933
Zn2 0.5000 0.5000 0.2778

=====

10.
DFT (PBE-GGA) results for an optimized crystal structure of ReSnP2Cl.

Calculated values
E above lowest polymorph: 0.0 kJ/mol of atoms
DOS at the Fermi energy: 3.7 states/eV/f.u.
Energy relative to the elements, uncorrected: 0.339 eV/atom
Mass density: 6071 kg/m3
Total energy: -27.424 eV per formula unit

Cell lengths 4.6028, 4.6028, 5.1943 Å; angles 90.00, 90.00, 90.00 degrees
Space group P4/mmm (No. 123)
Symmetry-distinct sites (fractional):
Re1 0.0000 0.0000 0.0000
Sn1 0.5000 0.5000 0.5000
P1 0.0000 0.5000 0.0000
Cl1 0.0000 0.0000 0.5000

=====

11.
DFT (PBE-GGA) results for an optimized crystal structure of La2HfCdO.

Calculated values
DOS at the Fermi energy: 4.9 states/eV/f.u.
Energy relative to the elements, uncorrected: -1.150 eV/atom
Mass density: 8071 kg/m3
Total energy: -31.431 eV per formula unit

Cell lengths 5.3413, 5.3413, 4.2164 Å; angles 90.00, 90.00, 90.00 degrees
Space group P4/mmm (No. 123)
Symmetry-distinct sites (fractional):
La1 0.0000 0.5000 0.0000
Hf1 0.0000 0.0000 0.5000
Cd1 0.5000 0.5000 0.5000
O1 0.0000 0.0000 0.0000

=====

12.
DFT (PBE-GGA) results for an optimized crystal structure of Pm4Ho3Tm2.

Calculated values
E above lowest polymorph: 6.8 kJ/mol of atoms
Formation enthalpy at 0 K: 92 meV per atom
DOS at the Fermi energy: 12.0 states/eV/f.u.
Mass density: 8108 kg/m3
Total energy: -40.850 eV per formula unit

Cell lengths 16.7016, 11.6554, 5.9914 Å; angles 90.00, 97.16, 90.00 degrees
Space group C2/c (No. 15)
Symmetry-distinct sites (fractional):
Pm1 0.0641 0.1123 0.0471
Pm2 0.2265 0.3894 0.8858
Ho1 0.0000 0.3498 0.7500
Ho2 0.1693 0.1518 0.5803
Tm1 0.1019 0.3937 0.2970